# NiAs2SO (GGA+U, relaxed)
data_NiAs2SO
_symmetry_space_group_name_H-M 'P 4/m m m'
_symmetry_Int_Tables_number 123
_symmetry_space_group_name_Hall '-P 4 2'
_cell_length_a 4.5575
_cell_length_b 4.5575
_cell_length_c 3.8589
_cell_angle_alpha 90.00
_cell_angle_beta 90.00
_cell_angle_gamma 90.00
loop_
_atom_site_label
_atom_site_type_symbol
_atom_site_fract_x
_atom_site_fract_y
_atom_site_fract_z
Ni1 Ni 0.0000 0.0000 0.0000
As1 As 0.0000 0.5000 0.5000
S1 S 0.5000 0.5000 0.0000
O1 O 0.0000 0.0000 0.5000
# Total moment ... 1.0 μB per cell
# Energy above the lowest structure with this stoichiometry ... 0.000 eV/atom
# Crystal system ... tetragonal